(1)
## TbPm7Tm12 (PBE)

Data for an optimized crystal structure of TbPm7Tm12.

Cell and atoms, written as CIF:
```
data_TbPm7Tm12
_space_group_name_H-M_alt 'I m -3 m'
_space_group_IT_number 229
_space_group_name_Hall '-I 4 2 3'
_cell_length_a 11.176
_cell_length_b 11.176
_cell_length_c 11.176
_cell_angle_alpha 90.00
_cell_angle_beta 90.00
_cell_angle_gamma 90.00
loop_
_atom_site_label
_atom_site_type_symbol
_atom_site_fract_x
_atom_site_fract_y
_atom_site_fract_z
Tb1 Tb 0.000 0.000 0.000
Pm1 Pm 0.000 0.000 0.500
Pm2 Pm 0.250 0.250 0.250
Tm1 Tm 0.000 0.248 0.248
```

Summary:
- E: -3.9065 eV/atom

(2)
## Cs7K2Rb2 (PBE)

Data for an optimized crystal structure of Cs7K2Rb2.

Cell and atoms, written as CIF:
```
data_Cs7K2Rb2
_space_group_name_H-M_alt 'I m m 2'
_space_group_IT_number 44
_cell_length_a 5.473
_cell_length_b 26.370
_cell_length_c 16.295
_cell_angle_alpha 90.00
_cell_angle_beta 90.00
_cell_angle_gamma 90.00
loop_
_space_group_symop_operation_xyz
'x,y,z'
'-x,-y,z'
'-x,y,z'
'x,-y,z'
'x+1/2,y+1/2,z+1/2'
'-x+1/2,-y+1/2,z+1/2'
'-x+1/2,y+1/2,z+1/2'
'x+1/2,-y+1/2,z+1/2'
loop_
_atom_site_label
_atom_site_type_symbol
_atom_site_fract_x
_atom_site_fract_y
_atom_site_fract_z
Cs1 Cs 0.000 0.000 0.000
Cs2 Cs 0.000 0.115 0.537
Cs3 Cs 0.000 0.328 0.319
Cs4 Cs 0.000 0.345 0.746
K1 K 0.000 0.233 0.037
Rb1 Rb 0.000 0.000 0.304
Rb2 Rb 0.000 0.500 0.224
```

Summary:
- E: -0.8910 eV/atom

(3)
## KMn3Ge (PBE)

Data for an optimized crystal structure of KMn3Ge.

Cell and atoms, written as CIF:
```
data_KMn3Ge
_space_group_name_H-M_alt 'P m -3 m'
_space_group_IT_number 221
_space_group_name_Hall '-P 4 2 3'
_cell_length_a 5.149
_cell_length_b 5.149
_cell_length_c 5.149
_cell_angle_alpha 90.00
_cell_angle_beta 90.00
_cell_angle_gamma 90.00
loop_
_atom_site_label
_atom_site_type_symbol
_atom_site_fract_x
_atom_site_fract_y
_atom_site_fract_z
K1 K 0.000 0.000 0.000
Mn1 Mn 0.000 0.000 0.500
Ge1 Ge 0.500 0.500 0.500
```

Summary:
- E: -4.4664 eV/atom

(4)
## Tb3Pu2PaP6 (PBE)

Data for an optimized crystal structure of Tb3Pu2PaP6.

Cell and atoms, written as CIF:
```
data_Tb3Pu2PaP6
_space_group_name_H-M_alt 'C 1 2/m 1'
_space_group_IT_number 12
_cell_length_a 6.946
_cell_length_b 12.031
_cell_length_c 6.929
_cell_angle_alpha 90.00
_cell_angle_beta 109.53
_cell_angle_gamma 90.00
loop_
_space_group_symop_operation_xyz
'x,y,z'
'-x,-y,-z'
'-x,y,-z'
'x,-y,z'
'x+1/2,y+1/2,z'
'-x+1/2,-y+1/2,-z'
'-x+1/2,y+1/2,-z'
'x+1/2,-y+1/2,z'
loop_
_atom_site_label
_atom_site_type_symbol
_atom_site_fract_x
_atom_site_fract_y
_atom_site_fract_z
Tb1 Tb 0.000 0.000 0.000
Tb2 Tb 0.000 0.332 0.000
Pu1 Pu 0.000 0.166 0.500
Pa1 Pa 0.000 0.500 0.500
P1 P 0.246 0.335 0.744
P2 P 0.249 0.500 0.256
```

Summary:
- E: -8.4661 eV/atom

(5)
## LiTbNi10 (PBE)

Data for an optimized crystal structure of LiTbNi10.

Cell and atoms, written as CIF:
```
data_LiTbNi10
_space_group_name_H-M_alt 'P m m m'
_space_group_IT_number 47
_cell_length_a 3.972
_cell_length_b 4.791
_cell_length_c 8.304
_cell_angle_alpha 90.00
_cell_angle_beta 90.00
_cell_angle_gamma 90.00
loop_
_space_group_symop_operation_xyz
'x,y,z'
'-x,-y,-z'
'-x,-y,z'
'x,y,-z'
'x,-y,-z'
'-x,y,z'
'-x,y,-z'
'x,-y,z'
loop_
_atom_site_label
_atom_site_type_symbol
_atom_site_fract_x
_atom_site_fract_y
_atom_site_fract_z
Li1 Li 0.000 0.000 0.000
Tb1 Tb 0.000 0.500 0.500
Ni1 Ni 0.000 0.000 0.319
Ni2 Ni 0.000 0.500 0.158
Ni3 Ni 0.500 0.000 0.500
Ni4 Ni 0.500 0.251 0.248
Ni5 Ni 0.500 0.500 0.000
```

Summary:
- E: -5.4624 eV/atom

(6)
## Co2TePt (PBE)

Data for an optimized crystal structure of Co2TePt.

Cell and atoms, written as CIF:
```
data_Co2TePt
_space_group_name_H-M_alt 'R -3 m'
_space_group_IT_number 166
_space_group_name_Hall '-R 3 2"'
_cell_length_a 3.0340
_cell_length_b 3.0340
_cell_length_c 23.5522
_cell_angle_alpha 90.00
_cell_angle_beta 90.00
_cell_angle_gamma 120.00
loop_
_atom_site_label
_atom_site_type_symbol
_atom_site_fract_x
_atom_site_fract_y
_atom_site_fract_z
Co1 Co 0.0000 0.0000 0.2494
Te1 Te 0.0000 0.0000 0.5000
Pt1 Pt 0.0000 0.0000 0.0000
```

Summary:
- Raw formation energy: 0.41 eV/atom

(7)
## K2AlCu (PBE)

Data for an optimized crystal structure of K2AlCu.

Cell and atoms, written as CIF:
```
data_K2AlCu
_space_group_name_H-M_alt 'F -4 3 m'
_space_group_IT_number 216
_space_group_name_Hall 'F -4 2 3'
_cell_length_a 7.735
_cell_length_b 7.735
_cell_length_c 7.735
_cell_angle_alpha 90.00
_cell_angle_beta 90.00
_cell_angle_gamma 90.00
loop_
_atom_site_label
_atom_site_type_symbol
_atom_site_fract_x
_atom_site_fract_y
_atom_site_fract_z
K1 K 0.000 0.000 0.000
K2 K 0.250 0.250 0.250
Al1 Al 0.000 0.000 0.500
Cu1 Cu 0.250 0.250 0.750
```

Summary:
- E: -1.9882 eV/atom

(8)
## Tb2Mg2Ni15 (PBE)

Data for an optimized crystal structure of Tb2Mg2Ni15.

Cell and atoms, written as CIF:
```
data_Tb2Mg2Ni15
_space_group_name_H-M_alt 'R -3 m'
_space_group_IT_number 166
_space_group_name_Hall '-R 3 2"'
_cell_length_a 8.3794
_cell_length_b 8.3794
_cell_length_c 12.3284
_cell_angle_alpha 90.00
_cell_angle_beta 90.00
_cell_angle_gamma 120.00
loop_
_atom_site_label
_atom_site_type_symbol
_atom_site_fract_x
_atom_site_fract_y
_atom_site_fract_z
Tb1 Tb 0.0000 0.0000 0.1489
Mg1 Mg 0.0000 0.0000 0.3970
Ni1 Ni 0.0000 0.3025 0.5000
Ni2 Ni 0.0000 0.5000 0.0000
Ni3 Ni 0.0030 0.5015 0.6558
```

Summary:
- E: -5.4551 eV/atom

(9)
## AcZnCu2Ge2 (PBE)

Data for an optimized crystal structure of AcZnCu2Ge2.

Cell and atoms, written as CIF:
```
data_AcZnCu2Ge2
_space_group_name_H-M_alt 'P -3 m 1'
_space_group_IT_number 164
_space_group_name_Hall '-P 3 2"'
_cell_length_a 4.2293
_cell_length_b 4.2293
_cell_length_c 7.3847
_cell_angle_alpha 90.00
_cell_angle_beta 90.00
_cell_angle_gamma 120.00
loop_
_atom_site_label
_atom_site_type_symbol
_atom_site_fract_x
_atom_site_fract_y
_atom_site_fract_z
Ac1 Ac 0.0000 0.0000 0.0000
Zn1 Zn 0.0000 0.0000 0.5000
Cu1 Cu 0.3333 0.6667 0.3595
Ge1 Ge 0.3333 0.6667 0.7209
```

Summary:
- E: -4.1319 eV/atom

(10)
## YIn2Mo (PBE)

Data for an optimized crystal structure of YIn2Mo.

Cell and atoms, written as CIF:
```
data_YIn2Mo
_space_group_name_H-M_alt 'P 1 2/m 1'
_space_group_IT_number 10
_cell_length_a 3.065
_cell_length_b 4.416
_cell_length_c 6.387
_cell_angle_alpha 90.00
_cell_angle_beta 90.22
_cell_angle_gamma 90.00
loop_
_space_group_symop_operation_xyz
'x,y,z'
'-x,-y,-z'
'-x,y,-z'
'x,-y,z'
loop_
_atom_site_label
_atom_site_type_symbol
_atom_site_fract_x
_atom_site_fract_y
_atom_site_fract_z
Y1 Y 0.000 0.000 0.000
In1 In 0.498 0.500 0.724
Mo1 Mo 0.000 0.000 0.500
```

Summary:
- E: -5.6401 eV/atom

(11)
## AcY4Zn (PBE)

Data for an optimized crystal structure of AcY4Zn.

Cell and atoms, written as CIF:
```
data_AcY4Zn
_space_group_name_H-M_alt 'P 4/m m m'
_space_group_IT_number 123
_space_group_name_Hall '-P 4 2'
_cell_length_a 3.657
_cell_length_b 3.657
_cell_length_c 14.001
_cell_angle_alpha 90.00
_cell_angle_beta 90.00
_cell_angle_gamma 90.00
loop_
_atom_site_label
_atom_site_type_symbol
_atom_site_fract_x
_atom_site_fract_y
_atom_site_fract_z
Ac1 Ac 0.000 0.000 0.000
Y1 Y 0.000 0.000 0.376
Y2 Y 0.500 0.500 0.195
Zn1 Zn 0.500 0.500 0.500
```

Summary:
- E: -5.2881 eV/atom

(12)
## Re2OsRh (PBE)

Data for an optimized crystal structure of Re2OsRh.

Cell and atoms, written as CIF:
```
data_Re2OsRh
_space_group_name_H-M_alt 'F m -3 m'
_space_group_IT_number 225
_space_group_name_Hall '-F 4 2 3'
_cell_length_a 6.204
_cell_length_b 6.204
_cell_length_c 6.204
_cell_angle_alpha 90.00
_cell_angle_beta 90.00
_cell_angle_gamma 90.00
loop_
_atom_site_label
_atom_site_type_symbol
_atom_site_fract_x
_atom_site_fract_y
_atom_site_fract_z
Re1 Re 0.250 0.250 0.250
Os1 Os 0.000 0.000 0.000
Rh1 Rh 0.000 0.000 0.500
```

Summary:
- E: -10.3452 eV/atom

(13)
## BaAs2Ru (PBE)

Data for an optimized crystal structure of BaAs2Ru.

Cell and atoms, written as CIF:
```
data_BaAs2Ru
_space_group_name_H-M_alt 'R -3 m'
_space_group_IT_number 166
_space_group_name_Hall '-R 3 2"'
_cell_length_a 4.2954
_cell_length_b 4.2954
_cell_length_c 17.3447
_cell_angle_alpha 90.00
_cell_angle_beta 90.00
_cell_angle_gamma 120.00
loop_
_atom_site_label
_atom_site_type_symbol
_atom_site_fract_x
_atom_site_fract_y
_atom_site_fract_z
Ba1 Ba 0.0000 0.0000 0.0000
As1 As 0.0000 0.0000 0.2085
Ru1 Ru 0.0000 0.0000 0.5000
```

Summary:
- E: -5.6790 eV/atom

(14)
## TlAg2Au (PBE)

Data for an optimized crystal structure of TlAg2Au.

Cell and atoms, written as CIF:
```
data_TlAg2Au
_space_group_name_H-M_alt 'F -4 3 m'
_space_group_IT_number 216
_space_group_name_Hall 'F -4 2 3'
_cell_length_a 6.837
_cell_length_b 6.837
_cell_length_c 6.837
_cell_angle_alpha 90.00
_cell_angle_beta 90.00
_cell_angle_gamma 90.00
loop_
_atom_site_label
_atom_site_type_symbol
_atom_site_fract_x
_atom_site_fract_y
_atom_site_fract_z
Tl1 Tl 0.000 0.000 0.000
Ag1 Ag 0.000 0.000 0.500
Ag2 Ag 0.250 0.250 0.250
Au1 Au 0.250 0.250 0.750
```

Summary:
- E: -2.7456 eV/atom

(15)
## Li2Pm3Ga3 (PBE)

Data for an optimized crystal structure of Li2Pm3Ga3.

Cell and atoms, written as CIF:
```
data_Li2Pm3Ga3
_space_group_name_H-M_alt 'C m c m'
_space_group_IT_number 63
_space_group_name_Hall '-C 2c 2'
_cell_length_a 4.688
_cell_length_b 10.124
_cell_length_c 15.404
_cell_angle_alpha 90.00
_cell_angle_beta 90.00
_cell_angle_gamma 90.00
loop_
_atom_site_label
_atom_site_type_symbol
_atom_site_fract_x
_atom_site_fract_y
_atom_site_fract_z
Li1 Li 0.000 0.206 0.087
Pm1 Pm 0.000 0.105 0.611
Pm2 Pm 0.000 0.393 0.750
Ga1 Ga 0.000 0.308 0.250
Ga2 Ga 0.000 0.398 0.545
```

Summary:
- E: -3.8228 eV/atom

(16)
## Li3HgTe (PBE)

Data for an optimized crystal structure of Li3HgTe.

Cell and atoms, written as CIF:
```
data_Li3HgTe
_space_group_name_H-M_alt 'P m -3 m'
_space_group_IT_number 221
_space_group_name_Hall '-P 4 2 3'
_cell_length_a 5.215
_cell_length_b 5.215
_cell_length_c 5.215
_cell_angle_alpha 90.00
_cell_angle_beta 90.00
_cell_angle_gamma 90.00
loop_
_atom_site_label
_atom_site_type_symbol
_atom_site_fract_x
_atom_site_fract_y
_atom_site_fract_z
Li1 Li 0.000 0.000 0.500
Hg1 Hg 0.500 0.500 0.500
Te1 Te 0.000 0.000 0.000
```

Summary:
- Raw formation energy: -0.47 eV/atom

(17)
## CdAsCl (PBE)

Data for an optimized crystal structure of CdAsCl.

Cell and atoms, written as CIF:
```
data_CdAsCl
_space_group_name_H-M_alt 'P 1 21/m 1'
_space_group_IT_number 11
_cell_length_a 4.691
_cell_length_b 3.844
_cell_length_c 10.441
_cell_angle_alpha 90.00
_cell_angle_beta 102.69
_cell_angle_gamma 90.00
loop_
_space_group_symop_operation_xyz
'x,y,z'
'-x,-y,-z'
'-x,y+1/2,-z'
'x,-y+1/2,z'
loop_
_atom_site_label
_atom_site_type_symbol
_atom_site_fract_x
_atom_site_fract_y
_atom_site_fract_z
Cd1 Cd 0.100 0.250 0.209
As1 As 0.463 0.750 0.921
Cl1 Cl 0.186 0.750 0.370
```

Summary:
- Raw formation energy: -0.55 eV/atom

(18)
## InNi2Os (PBE)

Data for an optimized crystal structure of InNi2Os.

Cell and atoms, written as CIF:
```
data_InNi2Os
_space_group_name_H-M_alt 'C m m m'
_space_group_IT_number 65
_space_group_name_Hall '-C 2 2'
_cell_length_a 5.572
_cell_length_b 7.334
_cell_length_c 2.726
_cell_angle_alpha 90.00
_cell_angle_beta 90.00
_cell_angle_gamma 90.00
loop_
_atom_site_label
_atom_site_type_symbol
_atom_site_fract_x
_atom_site_fract_y
_atom_site_fract_z
In1 In 0.000 0.000 0.000
Ni1 Ni 0.250 0.250 0.500
Os1 Os 0.000 0.500 0.000
```

Summary:
- E: -6.1580 eV/atom

(19)
## TbIn2GaCl6 (PBE)

Data for an optimized crystal structure of TbIn2GaCl6.

Cell and atoms, written as CIF:
```
data_TbIn2GaCl6
_space_group_name_H-M_alt 'R 3'
_space_group_IT_number 146
_space_group_name_Hall 'R 3'
_cell_length_a 7.7071
_cell_length_b 7.7071
_cell_length_c 19.3673
_cell_angle_alpha 90.00
_cell_angle_beta 90.00
_cell_angle_gamma 120.00
loop_
_atom_site_label
_atom_site_type_symbol
_atom_site_fract_x
_atom_site_fract_y
_atom_site_fract_z
Tb1 Tb 0.0000 0.0000 0.0000
In1 In 0.0000 0.0000 0.2947
In2 In 0.0000 0.0000 0.7876
Ga1 Ga 0.0000 0.0000 0.5089
Cl1 Cl 0.0105 0.4179 0.7381
Cl2 Cl 0.0879 0.7137 0.5791
```

Summary:
- Raw formation energy: -1.39 eV/atom

(20)
## Y2PbBr (PBE)

Data for an optimized crystal structure of Y2PbBr.

Cell and atoms, written as CIF:
```
data_Y2PbBr
_space_group_name_H-M_alt 'F m -3 m'
_space_group_IT_number 225
_space_group_name_Hall '-F 4 2 3'
_cell_length_a 7.592
_cell_length_b 7.592
_cell_length_c 7.592
_cell_angle_alpha 90.00
_cell_angle_beta 90.00
_cell_angle_gamma 90.00
loop_
_atom_site_label
_atom_site_type_symbol
_atom_site_fract_x
_atom_site_fract_y
_atom_site_fract_z
Y1 Y 0.250 0.250 0.250
Pb1 Pb 0.000 0.000 0.000
Br1 Br 0.000 0.000 0.500
```

Summary:
- Raw formation energy: -0.69 eV/atom

(21)
## PmSiGe2Rh2 (PBE)

Data for an optimized crystal structure of PmSiGe2Rh2.

Cell and atoms, written as CIF:
```
data_PmSiGe2Rh2
_space_group_name_H-M_alt 'P 4/m m m'
_space_group_IT_number 123
_space_group_name_Hall '-P 4 2'
_cell_length_a 4.518
_cell_length_b 4.518
_cell_length_c 5.537
_cell_angle_alpha 90.00
_cell_angle_beta 90.00
_cell_angle_gamma 90.00
loop_
_atom_site_label
_atom_site_type_symbol
_atom_site_fract_x
_atom_site_fract_y
_atom_site_fract_z
Pm1 Pm 0.000 0.000 0.000
Si1 Si 0.000 0.000 0.500
Ge1 Ge 0.500 0.500 0.231
Rh1 Rh 0.000 0.500 0.500
```

Summary:
- Raw formation energy: -0.47 eV/atom

(22)
## TbTm4Ge4 (PBE)

Data for an optimized crystal structure of TbTm4Ge4.

Cell and atoms, written as CIF:
```
data_TbTm4Ge4
_space_group_name_H-M_alt 'P 42/n'
_space_group_IT_number 86
_cell_length_a 9.110
_cell_length_b 9.110
_cell_length_c 5.726
_cell_angle_alpha 90.00
_cell_angle_beta 90.00
_cell_angle_gamma 90.00
loop_
_space_group_symop_operation_xyz
'x,y,z'
'-x,-y,-z'
'-y,x+1/2,z+1/2'
'y,-x+1/2,-z+1/2'
'-x+1/2,-y+1/2,z'
'x+1/2,y+1/2,-z'
'y+1/2,-x,z+1/2'
'-y+1/2,x,-z+1/2'
loop_
_atom_site_label
_atom_site_type_symbol
_atom_site_fract_x
_atom_site_fract_y
_atom_site_fract_z
Tb1 Tb 0.250 0.250 0.250
Tm1 Tm 0.087 0.650 0.139
Ge1 Ge 0.033 0.614 0.643
```

Summary:
- E: -5.1195 eV/atom

(23)
## Dy4Ho6Mg (PBE)

Data for an optimized crystal structure of Dy4Ho6Mg.

Cell and atoms, written as CIF:
```
data_Dy4Ho6Mg
_space_group_name_H-M_alt 'I -4 2 m'
_space_group_IT_number 121
_space_group_name_Hall 'I -4 2'
_cell_length_a 6.454
_cell_length_b 6.454
_cell_length_c 16.927
_cell_angle_alpha 90.00
_cell_angle_beta 90.00
_cell_angle_gamma 90.00
loop_
_atom_site_label
_atom_site_type_symbol
_atom_site_fract_x
_atom_site_fract_y
_atom_site_fract_z
Dy1 Dy 0.175 0.175 0.366
Ho1 Ho 0.000 0.500 0.000
Ho2 Ho 0.183 0.183 0.169
Mg1 Mg 0.000 0.000 0.000
```

Summary:
- E: -4.0337 eV/atom

(24)
## AgB3Rh (PBE)

Data for an optimized crystal structure of AgB3Rh.

Cell and atoms, written as CIF:
```
data_AgB3Rh
_space_group_name_H-M_alt 'P m -3 m'
_space_group_IT_number 221
_space_group_name_Hall '-P 4 2 3'
_cell_length_a 4.091
_cell_length_b 4.091
_cell_length_c 4.091
_cell_angle_alpha 90.00
_cell_angle_beta 90.00
_cell_angle_gamma 90.00
loop_
_atom_site_label
_atom_site_type_symbol
_atom_site_fract_x
_atom_site_fract_y
_atom_site_fract_z
Ag1 Ag 0.000 0.000 0.000
B1 B 0.000 0.500 0.500
Rh1 Rh 0.500 0.500 0.500
```

Summary:
- E: -4.9408 eV/atom

| no. | calculated density (Mg/m³) |
| --- | --- |
| 1 | 7.6 |
| 2 | 1.7 |
| 3 | 3.4 |
| 4 | 8.4 |
| 5 | 7.9 |
| 6 | 11.7 |
| 7 | 2.4 |
| 8 | 8.3 |
| 9 | 8.2 |
| 10 | 8.0 |
| 11 | 5.7 |
| 12 | 18.5 |
| 13 | 7.0 |
| 14 | 12.8 |
| 15 | 6.0 |
| 16 | 4.1 |
| 17 | 4.0 |
| 18 | 12.6 |
| 19 | 3.4 |
| 20 | 7.1 |
| 21 | 7.7 |
| 22 | 7.9 |
| 23 | 7.8 |
| 24 | 5.9 |